Crystalline BaRh4Pb12 at its relaxed geometry, computed with PBE-GGA.

For the mass density, the calculation gives 10.49 g/cm³. For the total magnetic moment, the calculation gives 0.0 μB/cell. The energy of formation comes out at -0.0731 eV/atom. For the total energy, the calculation gives -4.53 eV per atom.

a b c (Å): 9.8687 9.8687 9.8687
angles (deg): 90.00 90.00 90.00
Closest atoms and distances in Å follow each position.
Space group Im-3 (No. 204)
Inequivalent atoms, fractional coordinates:
Ba  0.0000  0.0000  0.0000 [2 per cell]  12 Pb 3.73
Rh  0.2500  0.2500  0.2500 [8 per cell]  6 Pb 2.74
Pb  0.0000  0.1681  0.3381 [24 per cell]  2 Rh 2.74

Crystalline TbGd3Co at its relaxed geometry, computed with PBE-GGA.

For the mass density, the calculation gives 7.63 g/cm³. For the total magnetic moment, the calculation gives 22.8 μB/cell. The energy of formation comes out at 0.0045 eV/atom. For the total energy, the calculation gives -10.79 eV per atom.

a b c (Å): 5.3133 5.3133 5.3133
angles (deg): 90.00 90.00 90.00
Closest atoms and distances in Å follow each position.
Space group Pm-3m (No. 221)
Inequivalent atoms, fractional coordinates:
Tb  0.0000  0.0000  0.0000 [1 per cell]  12 Gd 3.76
Gd  0.0000  0.5000  0.5000 [3 per cell]  2 Co 2.66
Co  0.5000  0.5000  0.5000 [1 per cell]  6 Gd 2.66

Crystalline AcTb5Pm3 at its relaxed geometry, computed with PBE-GGA.

For the mass density, the calculation gives 7.78 g/cm³. For the total magnetic moment, the calculation gives 0.0 μB/cell. The energy of formation comes out at 0.2695 eV/atom. For the total energy, the calculation gives -4.34 eV per atom.

a b c (Å): 8.8887 8.8887 15.7307
angles (deg): 90.00 90.00 90.00
Closest atoms and distances in Å follow each position.
Space group I4/mcm (No. 140)
Inequivalent atoms, fractional coordinates:
Ac  0.0000  0.5000  0.2500 [4 per cell]  4 Tb 3.24
Tb  0.0000  0.0000  0.0000 [4 per cell]  6 Pm 3.57-3.93, 8 Tb 3.80
Tb  0.2112  0.2888  0.1321 [16 per cell]  1 Pm 3.02, 1 Ac 3.24
Pm  0.0000  0.0000  0.2500 [4 per cell]  10 Tb 3.68-3.93
Pm  0.1149  0.3851  0.5000 [8 per cell]  1 Pm 2.89, 2 Tb 3.02

Crystalline Ba4ZrTe2 at its relaxed geometry, computed with PBE-GGA.

For the energy relative to the elements, uncorrected, the calculation gives -1.9 eV per formula unit. For the mass density, the calculation gives 4.67 g/cm³. For the total magnetic moment, the calculation gives 3.0 μB/cell. For the total energy, the calculation gives -3.49 eV per atom.

a b c (Å): 5.8191 5.8191 18.8148
angles (deg): 90.00 90.00 90.00
Closest atoms and distances in Å follow each position.
Space group I4/mmm (No. 139)
Inequivalent atoms, fractional coordinates:
Ba  0.0000  0.0000  0.1778 [4 per cell]  1 Zr 3.35, 1 Te 3.45
Ba  0.0000  0.5000  0.0000 [4 per cell]  2 Zr 2.91
Zr  0.0000  0.0000  0.0000 [2 per cell]  4 Ba 2.91
Te  0.0000  0.0000  0.3611 [4 per cell]  1 Ba 3.45